Record 1
SrSmAgCl6: relaxed, PBE-GGA.

Computed properties:
formation energy (no corrections)	-1920	meV per atom
VASP energy	-4.18	eV/atom
total magnetic moment	0.00	μB/f.u.

```
SrSmAgCl6
1.0
-0.367 5.086 4.731
2.595 -6.208 1.762
11.900 4.012 -3.389
Cl Ag Sm Sr
12 2 2 2
direct
0.660 0.009 0.370
0.349 0.340 0.370
0.009 0.660 0.870
0.340 0.349 0.870
0.991 0.651 0.370
0.660 0.651 0.130
0.651 0.991 0.870
0.009 0.349 0.630
0.340 0.991 0.630
0.651 0.660 0.630
0.349 0.009 0.130
0.991 0.340 0.130
0.333 0.667 0.250
0.667 0.333 0.750
0.333 0.667 0.750
0.667 0.333 0.250
0.000 0.000 0.500
0.000 0.000 0.000
```

Record 2
Sr8Ga16S31: relaxed, PBE-GGA.

Computed properties:
formation energy (no corrections)	-1151	meV per atom
VASP energy	-4.60	eV/atom
total magnetic moment	0.00	μB/f.u.

```
Sr8Ga16S31
1.0
11.981 -0.003 0.000
-5.799 10.604 0.001
-3.096 -5.297 10.597
S Ga Sr
31 16 8
direct
0.080 0.080 0.662
0.082 0.582 0.162
0.416 0.417 0.336
0.685 0.842 0.497
0.350 0.660 0.505
0.339 0.647 0.997
0.651 0.341 0.502
0.848 0.658 0.499
0.916 0.417 0.836
0.312 0.157 0.500
0.659 0.352 0.001
0.829 0.181 0.999
0.584 0.583 0.664
0.418 0.917 0.339
0.089 0.587 0.668
0.815 0.159 0.504
0.918 0.918 0.834
0.150 0.339 0.499
0.191 0.848 0.507
0.416 0.416 0.836
0.590 0.091 0.184
0.581 0.082 0.667
0.918 0.918 0.335
0.342 0.144 0.994
0.583 0.583 0.165
0.842 0.692 0.998
0.649 0.849 0.990
0.921 0.422 0.339
0.078 0.079 0.160
0.166 0.815 0.995
0.156 0.308 0.002
0.469 0.361 0.500
0.862 0.387 0.999
0.380 0.969 0.995
0.390 0.863 0.502
0.888 0.862 0.498
0.138 0.106 0.998
0.641 0.534 0.001
0.360 0.467 0.002
0.610 0.137 0.501
0.531 0.639 0.499
0.857 0.891 0.995
0.969 0.363 0.503
0.034 0.642 0.502
0.108 0.135 0.499
0.612 0.026 0.993
0.136 0.612 0.998
0.625 0.877 0.246
0.873 0.124 0.753
0.127 0.876 0.247
0.376 0.134 0.751
0.878 0.626 0.750
0.623 0.371 0.249
0.374 0.613 0.748
0.121 0.373 0.250
```

The lowest VASP energy belongs to which entry? Sr8Ga16S31

What is the VASP energy in the first record? -4.18 eV/atom

Look up the VASP energy of the first one. -4.18 eV/atom